Entry 1:
12
Lattice="-6.9806 -1.8115 0.2859 -2.6960 -3.0485 5.9608 -4.4766 3.5273 4.1488" Properties=species:S:1:pos:R:3 comment="PBE Ni2TeSe3, relaxed" crystal_system=trigonal pbc="T T T"
Se -7.1773 0.1198 7.7216
Se -6.9760 -1.4525 2.6738
Se -4.8508 -2.0660 5.4886
Se -9.3025 0.7334 4.9068
Se -8.3133 -2.9645 5.6304
Se -5.8400 1.6319 4.7650
Ni -3.4903 -0.9057 0.1429
Ni -4.8383 -2.4300 3.1233
Ni -1.3480 -1.5242 2.9804
Ni 0.0000 0.0000 0.0000
Te -10.5948 -1.0826 7.7632
Te -3.5585 -0.2500 2.6323


Entry 2:
5
Lattice="5.3314 0.0000 0.0000 0.0000 5.2096 0.0000 0.0000 0.0000 5.3314" Properties=species:S:1:pos:R:3 comment="PBE Ga2TcSnCl, relaxed" crystal_system=tetragonal pbc="T T T"
Ga 0.0000 0.0000 2.6657
Ga 2.6657 0.0000 0.0000
Cl 0.0000 2.6048 0.0000
Tc 2.6657 2.6048 2.6657
Sn 0.0000 0.0000 0.0000


Number 1: formation energy without anion corrections -22 kJ/mol of atoms. Number 2: formation energy without anion corrections 103 kJ/mol of atoms.